## one
A relaxed Li7Mn4CoO12 crystal. Source: Alexandria via LeMat-Bulk, functional PBE+U. Values from VASP.

Geometry as Quantum ESPRESSO input:
```
&SYSTEM
  ibrav = 0, nat = 24, ntyp = 4
/
ATOMIC_SPECIES
Li 6.94 Li.upf
Mn 54.94 Mn.upf
Co 58.93 Co.upf
O 16.00 O.upf
CELL_PARAMETERS angstrom
5.309 0.000 0.000
0.049 5.708 0.000
2.090 1.484 7.251
ATOMIC_POSITIONS angstrom
Li 0.000 0.000 0.000
Li 1.546 5.705 2.310
Li 1.597 2.855 2.357
Li 2.435 1.400 0.131
Li 5.013 5.792 7.120
Li 5.851 4.337 4.894
Li 5.902 1.487 4.941
Mn 3.183 5.770 4.899
Mn 3.209 2.895 4.868
Mn 4.239 4.297 2.383
Mn 4.265 1.422 2.351
Co 0.024 2.854 0.000
O 0.490 4.201 1.329
O 0.708 1.526 1.143
O 2.419 1.497 3.798
O 2.615 4.309 3.626
O 4.000 4.318 5.925
O 3.998 1.502 5.919
O 3.450 5.690 1.331
O 3.448 2.874 1.325
O 4.833 2.882 3.624
O 5.029 5.695 3.453
O 6.740 5.665 6.107
O 6.958 2.991 5.921
```


## two
A relaxed Li7Mn4CoO12 crystal. Source: Alexandria via LeMat-Bulk, functional PBE+U. Values from VASP.

Geometry as Quantum ESPRESSO input:
```
&SYSTEM
  ibrav = 0, nat = 24, ntyp = 4
/
ATOMIC_SPECIES
Li 6.94 Li.upf
Mn 54.94 Mn.upf
Co 58.93 Co.upf
O 16.00 O.upf
CELL_PARAMETERS angstrom
3.014 0.000 0.000
-0.819 7.789 0.000
-0.418 -3.721 9.450
ATOMIC_POSITIONS angstrom
Li 0.000 0.000 0.000
Li -0.209 -1.834 4.936
Li 0.258 3.924 3.283
Li 0.189 2.215 7.976
Li 0.249 4.891 7.277
Li 1.256 0.001 6.530
Li 1.618 1.946 1.644
Mn 0.077 1.058 4.060
Mn 1.367 -0.970 2.482
Mn 1.853 4.823 0.863
Mn 1.733 3.090 5.687
Co -0.276 -0.935 8.711
O -0.262 -1.261 6.994
O 0.079 0.468 2.200
O 0.129 3.381 1.117
O 0.209 1.760 5.911
O 0.234 4.289 5.305
O 0.586 6.290 0.586
O 1.062 -2.172 9.135
O 1.323 -0.419 4.409
O 1.434 0.514 8.470
O 1.787 2.466 3.768
O 1.812 5.365 2.772
O 1.721 3.478 7.474
```


## three
A relaxed Li7Mn4CoO12 crystal. Source: Alexandria via LeMat-Bulk, functional PBE+U. Values from VASP.

Geometry as Quantum ESPRESSO input:
```
&SYSTEM
  ibrav = 0, nat = 24, ntyp = 4
/
ATOMIC_SPECIES
Li 6.94 Li.upf
Mn 54.94 Mn.upf
Co 58.93 Co.upf
O 16.00 O.upf
CELL_PARAMETERS angstrom
8.445 0.000 0.000
0.000 2.902 0.000
-4.176 0.000 8.857
ATOMIC_POSITIONS angstrom
Li 0.000 0.000 0.000
Li -2.088 1.451 4.428
Li 0.072 0.000 5.988
Li 2.345 1.451 1.500
Li 4.223 0.000 0.000
Li 1.924 1.451 7.356
Li 4.197 0.000 2.869
Mn 0.041 0.000 2.921
Mn -1.951 1.451 7.413
Mn 6.220 1.451 1.443
Mn 4.228 0.000 5.936
Co 2.135 1.451 4.428
O -0.131 1.451 1.580
O -2.095 0.000 6.067
O -0.039 1.451 4.232
O -2.074 0.000 8.695
O -0.125 1.451 7.353
O 2.054 0.000 2.953
O 2.215 0.000 5.903
O 4.394 1.451 1.504
O 6.343 0.000 0.161
O 4.308 1.451 4.624
O 6.364 0.000 2.789
O 4.400 1.451 7.276
```


## four
A relaxed Li7Mn4CoO12 crystal. Source: Alexandria via LeMat-Bulk, functional PBE+U. Values from VASP.

Geometry as Quantum ESPRESSO input:
```
&SYSTEM
  ibrav = 0, nat = 24, ntyp = 4
/
ATOMIC_SPECIES
Li 6.94 Li.upf
Mn 54.94 Mn.upf
Co 58.93 Co.upf
O 16.00 O.upf
CELL_PARAMETERS angstrom
5.106 0.000 0.000
-1.679 5.572 0.000
-0.706 -1.727 7.641
ATOMIC_POSITIONS angstrom
Li 0.000 0.000 0.000
Li -0.754 -0.249 5.204
Li -1.522 1.067 7.635
Li -1.537 2.550 5.143
Li 0.914 3.288 3.930
Li 3.314 4.015 2.662
Li 4.268 1.282 2.722
Mn 0.833 4.788 1.337
Mn 1.681 2.027 1.341
Mn 1.727 0.520 3.911
Mn 1.852 -0.989 6.414
Co 0.975 1.818 6.343
O 0.149 1.461 4.492
O 0.946 0.273 1.840
O 0.122 3.065 1.822
O -0.630 2.928 7.139
O -0.666 4.401 4.702
O 0.300 0.024 7.170
O 3.244 -0.486 3.073
O 3.224 0.953 0.669
O 2.476 2.188 3.093
O 2.392 3.750 0.801
O 1.722 3.637 5.881
O 2.666 0.664 5.885
```


Energy ordering: four at the bottom, the next structure 6 meV per atom above.


## one
A relaxed Li6Mn3CoO10 crystal. Source: Alexandria via LeMat-Bulk, functional PBE+U. Values from VASP.

Geometry as Quantum ESPRESSO input:
```
&SYSTEM
  ibrav = 0, nat = 20, ntyp = 4
/
ATOMIC_SPECIES
Li 6.94 Li.upf
Mn 54.94 Mn.upf
Co 58.93 Co.upf
O 16.00 O.upf
CELL_PARAMETERS angstrom
2.505 -7.390 0.000
2.505 7.390 0.000
-1.653 0.000 4.829
ATOMIC_POSITIONS angstrom
Li 0.000 0.000 0.000
Li 2.505 4.320 0.000
Li 2.505 1.359 0.000
Li 2.505 -1.512 0.000
Li 2.505 -4.642 0.000
Li 1.679 -6.052 2.415
Mn 1.679 5.852 2.415
Mn 1.679 2.799 2.415
Mn 1.679 -3.094 2.415
Co 1.679 -0.029 2.415
O 0.058 2.960 3.476
O 0.949 1.516 1.258
O -0.059 -0.264 3.547
O 0.793 -1.694 1.350
O 0.039 -3.072 3.467
O 3.300 2.960 1.353
O 2.409 1.516 3.571
O 3.417 -0.264 1.283
O 2.565 -1.694 3.479
O 3.319 -3.072 1.363
```


## two
A relaxed Li6Mn3CoO10 crystal. Source: Alexandria via LeMat-Bulk, functional PBE+U. Values from VASP.

Geometry as Quantum ESPRESSO input:
```
&SYSTEM
  ibrav = 0, nat = 20, ntyp = 4
/
ATOMIC_SPECIES
Li 6.94 Li.upf
Mn 54.94 Mn.upf
Co 58.93 Co.upf
O 16.00 O.upf
CELL_PARAMETERS angstrom
10.399 -1.476 0.000
10.399 1.476 0.000
-0.782 0.000 5.911
ATOMIC_POSITIONS angstrom
Li 0.000 0.000 0.000
Li -0.374 0.000 2.898
Li 3.740 0.000 3.516
Li 8.342 0.000 1.269
Li 11.724 0.000 4.621
Li 16.470 0.000 2.375
Mn 4.132 0.000 0.579
Mn 12.224 0.000 1.793
Mn 16.012 0.000 5.264
Co 8.051 0.000 4.059
O 1.741 0.000 3.054
O 2.188 0.000 0.454
O 6.069 0.000 0.726
O 5.771 0.000 3.980
O 9.790 0.000 4.453
O 10.453 0.000 1.465
O 14.274 0.000 1.971
O 14.013 0.000 5.077
O 17.858 0.000 5.512
O 18.380 0.000 2.716
```


Energy ordering: one at the bottom, the next structure 51 meV per atom above.


## one
A relaxed Li5MnCo2O8 crystal. Source: Alexandria via LeMat-Bulk, functional PBE+U. Values from VASP.

Geometry as Quantum ESPRESSO input:
```
&SYSTEM
  ibrav = 0, nat = 16, ntyp = 4
/
ATOMIC_SPECIES
Li 6.94 Li.upf
Mn 54.94 Mn.upf
Co 58.93 Co.upf
O 16.00 O.upf
CELL_PARAMETERS angstrom
5.082 -2.918 0.000
5.082 2.918 0.000
-1.634 0.000 4.688
ATOMIC_POSITIONS angstrom
Li 0.000 0.000 0.000
Li 0.930 1.445 4.674
Li 1.734 0.024 2.350
Li 7.599 1.445 0.014
Li 6.796 0.024 2.338
Mn 4.265 -1.456 2.344
Co 4.265 1.539 2.344
Co 5.082 -0.017 0.000
O 0.012 0.095 3.385
O 2.755 1.327 3.551
O 5.775 1.327 1.136
O 3.527 -0.050 1.154
O 2.739 -1.346 3.526
O 5.003 -0.050 3.533
O 5.791 -1.346 1.161
O 8.517 0.095 1.302
```


## two
A relaxed Li5MnCo2O8 crystal. Source: Alexandria via LeMat-Bulk, functional PBE+U. Values from VASP.

Geometry as Quantum ESPRESSO input:
```
&SYSTEM
  ibrav = 0, nat = 16, ntyp = 4
/
ATOMIC_SPECIES
Li 6.94 Li.upf
Mn 54.94 Mn.upf
Co 58.93 Co.upf
O 16.00 O.upf
CELL_PARAMETERS angstrom
4.952 0.000 0.000
0.000 2.897 0.000
-1.851 0.000 9.596
ATOMIC_POSITIONS angstrom
Li 0.000 0.000 0.000
Li 0.726 1.449 2.115
Li -0.169 0.000 7.403
Li 3.270 0.000 2.193
Li 2.375 1.449 7.481
Mn -0.926 1.449 4.798
Co 1.550 0.000 4.798
Co 2.476 1.449 0.000
O -0.075 0.000 3.728
O -0.859 1.449 8.489
O 0.730 1.449 5.803
O 1.711 0.000 1.045
O 1.390 0.000 8.551
O 2.371 1.449 3.793
O 3.960 1.449 1.107
O 3.176 0.000 5.868
```


Energy ordering: one at the bottom, the next structure 58 meV per atom above.